Model i:
First-principles (GGA-PBE) data for a relaxed MnBi3N crystal, as listed in Alexandria.

Size of the total moment   3.508 μB per formula unit

Unit cell a=4.9158 b=4.9158 c=4.9158 alpha=90.00 beta=90.00 gamma=90.00
Closest atoms and distances in Å follow each position.
Fractional coordinates of all 5 atoms:
Mn 0.5000 0.5000 0.5000  12 Bi 3.48
Bi 0.0000 0.5000 0.0000  2 N 2.46
Bi 0.0000 0.0000 0.5000  2 N 2.46
Bi 0.5000 0.0000 0.0000  2 N 2.46
N 0.0000 0.0000 0.0000  6 Bi 2.46

=====

Model ii:
First-principles (GGA-PBE) data for a relaxed MnBi3N crystal, as listed in Alexandria.

Size of the total moment   0.000 μB per formula unit

Unit cell a=4.9948 b=4.9948 c=4.9948 alpha=90.00 beta=90.00 gamma=90.00
Closest atoms and distances in Å follow each position.
Fractional coordinates of all 5 atoms:
Mn 0.0000 0.0000 0.0000  6 Bi 2.50
Bi 0.0000 0.5000 0.0000  2 Mn 2.50
Bi 0.0000 0.0000 0.5000  2 Mn 2.50
Bi 0.5000 0.0000 0.0000  2 Mn 2.50
N 0.5000 0.5000 0.5000  12 Bi 3.53

=====

The structure with the greatest stability is model i.

=====

Model i:
First-principles (GGA-PBE) data for a relaxed Mn2BiN crystal, as listed in Alexandria.

Size of the total moment   7.057 μB per formula unit

Unit cell a=4.4859 b=4.4859 c=4.4859 alpha=60.00 beta=60.00 gamma=60.00
Closest atoms and distances in Å follow each position.
Fractional coordinates of all 4 atoms:
Mn 0.2500 0.2500 0.2500  4 Bi 2.75, 4 N 2.75
Mn 0.7500 0.7500 0.7500  4 N 2.75, 4 Bi 2.75
Bi 0.5000 0.5000 0.5000  8 Mn 2.75
N 0.0000 0.0000 0.0000  8 Mn 2.75

=====

Model ii:
First-principles (GGA-PBE) data for a relaxed Mn2BiN crystal, as listed in Alexandria.

Size of the total moment   5.991 μB per formula unit

Unit cell a=6.1376 b=6.1376 c=5.6030 alpha=56.79 beta=56.79 gamma=90.00
Closest atoms and distances in Å follow each position.
Fractional coordinates of all 8 atoms:
Mn 0.4779 0.1250 0.2500  2 N 1.88
Mn 0.2721 0.6250 0.2500  2 N 1.88
Mn 0.3750 0.5221 0.7500  2 N 1.88
Mn 0.8750 0.7279 0.7500  2 N 1.88
Bi 0.0000 0.0000 0.0000  8 Mn 3.01-3.13
Bi 0.7500 0.2500 0.5000  8 Mn 3.01-3.13
N 0.5000 0.5000 0.0000  4 Mn 1.88
N 0.2500 0.7500 0.5000  4 Mn 1.88

=====

The structure with the greatest stability is model ii.

=====

Model i:
First-principles (GGA-PBE) data for a relaxed MnBiS2N crystal, as listed in Alexandria.

Size of the total moment   6.013 μB per formula unit

Unit cell a=5.2485 b=5.2485 c=4.2570 alpha=90.00 beta=90.00 gamma=90.00
Closest atoms and distances in Å follow each position.
Fractional coordinates of all 5 atoms:
S 0.0000 0.5000 0.0000  2 Bi 2.62
S 0.5000 0.0000 0.0000  2 Bi 2.62
Mn 0.5000 0.5000 0.5000  8 S 3.38, 4 N 3.71
Bi 0.0000 0.0000 0.0000  2 N 2.13
N 0.0000 0.0000 0.5000  2 Bi 2.13

=====

Model ii:
First-principles (GGA-PBE) data for a relaxed MnBiS2N crystal, as listed in Alexandria.

Size of the total moment   2.240 μB per formula unit

Unit cell a=4.8841 b=4.8841 c=3.5720 alpha=90.00 beta=90.00 gamma=90.00
Closest atoms and distances in Å follow each position.
Fractional coordinates of all 5 atoms:
S 0.0000 0.5000 0.0000  2 Mn 2.44
S 0.5000 0.0000 0.0000  2 Mn 2.44
Mn 0.0000 0.0000 0.0000  2 N 1.79
Bi 0.5000 0.5000 0.5000  8 S 3.03
N 0.0000 0.0000 0.5000  2 Mn 1.79

=====

The structure with the greatest stability is model ii.

=====

Model i:
First-principles (GGA-PBE) data for a relaxed MnBiSeN2 crystal, as listed in Alexandria.

Size of the total moment   1.518 μB per formula unit

Unit cell a=3.9373 b=3.9373 c=5.0069 alpha=90.00 beta=90.00 gamma=90.00
Closest atoms and distances in Å follow each position.
Fractional coordinates of all 5 atoms:
Mn 0.0000 0.0000 0.0000  4 N 1.97
Bi 0.5000 0.5000 0.5000  4 Se 2.78
Se 0.0000 0.0000 0.5000  2 Mn 2.50, 4 Bi 2.78
N 0.0000 0.5000 0.0000  2 Mn 1.97
N 0.5000 0.0000 0.0000  2 Mn 1.97

=====

Model ii:
First-principles (GGA-PBE) data for a relaxed MnBiSeN2 crystal, as listed in Alexandria.

Size of the total moment   6.345 μB per formula unit

Unit cell a=4.2253 b=4.2253 c=5.9888 alpha=90.00 beta=90.00 gamma=90.00
Closest atoms and distances in Å follow each position.
Fractional coordinates of all 5 atoms:
Mn 0.5000 0.5000 0.5000  4 Se 2.99
Bi 0.0000 0.0000 0.0000  4 N 2.11
Se 0.0000 0.0000 0.5000  4 Mn 2.99, 2 Bi 2.99
N 0.0000 0.5000 0.0000  2 Bi 2.11
N 0.5000 0.0000 0.0000  2 Bi 2.11

=====

The structure with the greatest stability is model i.

=====

Model i:
First-principles (GGA-PBE) data for a relaxed NaMn3Bi crystal, as listed in Alexandria.

Size of the total moment   11.795 μB per formula unit

Unit cell a=4.8068 b=4.8068 c=4.8068 alpha=90.00 beta=90.00 gamma=90.00
Closest atoms and distances in Å follow each position.
Fractional coordinates of all 5 atoms:
Na 0.0000 0.0000 0.0000  6 Mn 2.40
Mn 0.0000 0.5000 0.0000  2 Na 2.40
Mn 0.0000 0.0000 0.5000  2 Na 2.40
Mn 0.5000 0.0000 0.0000  2 Na 2.40
Bi 0.5000 0.5000 0.5000  12 Mn 3.40

=====

Model ii:
First-principles (GGA-PBE) data for a relaxed NaMn3Bi crystal, as listed in Alexandria.

Size of the total moment   11.218 μB per formula unit

Unit cell a=5.2240 b=5.2240 c=5.2240 alpha=90.00 beta=90.00 gamma=90.00
Closest atoms and distances in Å follow each position.
Fractional coordinates of all 5 atoms:
Na 0.5000 0.5000 0.5000  12 Mn 3.69
Mn 0.0000 0.5000 0.0000  2 Bi 2.61
Mn 0.0000 0.0000 0.5000  2 Bi 2.61
Mn 0.5000 0.0000 0.0000  2 Bi 2.61
Bi 0.0000 0.0000 0.0000  6 Mn 2.61

=====

The structure with the greatest stability is model ii.

=====

Model i:
First-principles (GGA-PBE) data for a relaxed Na2Mn2Bi crystal, as listed in Alexandria.

Size of the total moment   8.381 μB per formula unit

Unit cell a=8.7613 b=8.7613 c=3.1448 alpha=90.00 beta=90.00 gamma=90.00
Closest atoms and distances in Å follow each position.
Fractional coordinates of all 10 atoms:
Na 0.3760 0.8760 0.0000  6 Mn 2.96-3.08, 3 Na 3.07-3.14
Na 0.8760 0.6240 0.0000  6 Mn 2.96-3.08, 3 Na 3.07-3.14
Na 0.6240 0.1240 0.0000  6 Mn 2.96-3.08, 3 Na 3.07-3.14
Na 0.1240 0.3760 0.0000  6 Mn 2.96-3.08, 3 Na 3.07-3.14
Mn 0.1737 0.6737 0.5000  6 Na 2.96-3.08, 2 Mn 3.14
Mn 0.6737 0.8263 0.5000  6 Na 2.96-3.08, 2 Mn 3.14
Mn 0.8263 0.3263 0.5000  6 Na 2.96-3.08, 2 Mn 3.14
Mn 0.3263 0.1737 0.5000  6 Na 2.96-3.08, 2 Mn 3.14
Bi 0.0000 0.0000 0.0000  2 Bi 3.14, 4 Na 3.47
Bi 0.5000 0.5000 0.0000  2 Bi 3.14, 4 Na 3.47

=====

Model ii:
First-principles (GGA-PBE) data for a relaxed Na2Mn2Bi crystal, as listed in Alexandria.

Size of the total moment   1.634 μB per formula unit

Unit cell a=3.1953 b=3.1953 c=10.8536 alpha=81.54 beta=81.54 gamma=90.00
Closest atoms and distances in Å follow each position.
Fractional coordinates of all 5 atoms:
Na 0.3775 0.3775 0.2449  4 Mn 3.14, 4 Na 3.20, 4 Bi 3.44
Na 0.6225 0.6225 0.7551  4 Mn 3.14, 4 Na 3.20, 4 Bi 3.44
Mn 0.7500 0.2500 0.5000  4 Mn 2.26
Mn 0.2500 0.7500 0.5000  4 Mn 2.26
Bi 0.0000 0.0000 0.0000  4 Bi 3.20, 8 Na 3.44

=====

The structure with the greatest stability is model ii.

=====

Model i:
First-principles (GGA-PBE) data for a relaxed MnNbBi3 crystal, as listed in Alexandria.

Size of the total moment   4.859 μB per formula unit

Unit cell a=5.5070 b=5.5070 c=5.5070 alpha=90.00 beta=90.00 gamma=90.00
Closest atoms and distances in Å follow each position.
Fractional coordinates of all 5 atoms:
Nb 0.0000 0.0000 0.0000  6 Bi 2.75
Mn 0.5000 0.5000 0.5000  12 Bi 3.89
Bi 0.0000 0.5000 0.0000  2 Nb 2.75
Bi 0.0000 0.0000 0.5000  2 Nb 2.75
Bi 0.5000 0.0000 0.0000  2 Nb 2.75

=====

Model ii:
First-principles (GGA-PBE) data for a relaxed MnNbBi3 crystal, as listed in Alexandria.

Size of the total moment   5.980 μB per formula unit

Unit cell a=5.2132 b=5.2132 c=5.2132 alpha=90.00 beta=90.00 gamma=90.00
Closest atoms and distances in Å follow each position.
Fractional coordinates of all 5 atoms:
Nb 0.5000 0.5000 0.5000  12 Bi 3.69
Mn 0.0000 0.0000 0.0000  6 Bi 2.61
Bi 0.0000 0.5000 0.0000  2 Mn 2.61
Bi 0.0000 0.0000 0.5000  2 Mn 2.61
Bi 0.5000 0.0000 0.0000  2 Mn 2.61

=====

The structure with the greatest stability is model i.